A plane-wave DFT calculation with GGA+U was carried out for a geometry-optimized Co2N2O structure.

abc: 5.559 5.559 3.525
angles: 90.00 90.00 90.00
Fractional coordinates of all 10 atoms:
Co: 0.204 0.296 0.000
Co: 0.296 0.796 0.000
Co: 0.704 0.204 0.000
Co: 0.796 0.704 0.000
N: 0.077 0.423 0.500
N: 0.423 0.923 0.500
N: 0.577 0.077 0.500
N: 0.923 0.577 0.500
O: 0.000 0.000 0.000
O: 0.500 0.500 0.000

Results
The calculation puts the volume at 10.9 Å³/atom. As for the total DFT energy (no corrections): -6.27 eV per atom. Its space-group type is P4/mbm (127). Its total magnetic moment is 4.1 μB per formula unit. As for the crystal system: tetragonal.